! BaRh2WF, optimized geometry, DFT GGA+U; values from VASP
! DOS at the Fermi energy (states/eV/cell): 2.824
! Total magnetization (μB per atom): 0.355
! Space group: No. 123
! E (eV/atom): -5.293
&SYSTEM
  ibrav = 0, nat = 5, ntyp = 4
/
ATOMIC_SPECIES
Ba 137.33 Ba.upf
Rh 102.91 Rh.upf
W 183.84 W.upf
F 19.00 F.upf
CELL_PARAMETERS angstrom
4.984 0.000 0.000
0.000 4.984 0.000
0.000 0.000 4.467
ATOMIC_POSITIONS crystal
Ba 0.000 0.000 0.000
Rh 0.000 0.500 0.500
Rh 0.500 0.000 0.500
W 0.500 0.500 0.500
F 0.500 0.500 0.000